(1)
Below is an optimized crystal structure of LiZn2Os, with properties calculated at the PBE-GGA level.

```
4
Lattice="2.9917 0.0000 0.0000 0.0000 2.9917 0.0000 0.0000 0.0000 6.0006" Properties=species:S:1:pos:R:3 pbc="T T T"
Li 0.0000 0.0000 0.0000
Zn 0.0000 0.0000 3.0033
Zn 1.4958 1.4958 4.6438
Os 1.4958 1.4958 1.4578
```

Computed properties:
Energy of formation from the pure elements, meV/atom: 266
Space-group type: P4mm (99)
ρ, g/cm³: 10.14
Electronic total energy, eV/cell: -14.63

---

(2)
Below is an optimized crystal structure of Li2ZnOs, with properties calculated at the PBE-GGA level.

```
4
Lattice="2.6243 0.0000 0.0000 0.0000 2.6243 0.0000 0.0000 0.0000 8.6870" Properties=species:S:1:pos:R:3 pbc="T T T"
Li 0.0000 0.0000 0.0000
Li 1.3122 1.3122 2.5699
Zn 1.3122 1.3122 6.6731
Os 0.0000 0.0000 4.6101
```

Computed properties:
Energy of formation from the pure elements, meV/atom: 159
Space-group type: P4mm (99)
ρ, g/cm³: 7.48
Electronic total energy, eV/cell: -15.69

---

(3)
Below is an optimized crystal structure of LiZn2Os, with properties calculated at the PBE-GGA level.

```
4
Lattice="1.3621 0.7864 8.9450 -1.3621 0.7864 8.9450 0.0000 -1.5728 8.9450" Properties=species:S:1:pos:R:3 pbc="T T T"
Li 0.0000 0.0000 0.0000
Zn 0.0000 0.0000 6.6992
Zn 0.0000 0.0000 20.1359
Os 0.0000 0.0000 13.4175
```

Computed properties:
Energy of formation from the pure elements, meV/atom: 28
Space-group type: R-3m (166)
ρ, g/cm³: 9.47
Electronic total energy, eV/cell: -15.58

---

(4)
Below is an optimized crystal structure of Li2ZnOs, with properties calculated at the PBE-GGA level.

```
4
Lattice="1.3282 0.7669 9.2558 -1.3282 0.7669 9.2558 0.0000 -1.5337 9.2558" Properties=species:S:1:pos:R:3 pbc="T T T"
Li 0.0000 0.0000 6.8767
Li 0.0000 0.0000 20.8907
Zn 0.0000 0.0000 0.0000
Os 0.0000 0.0000 13.8837
```

Computed properties:
Energy of formation from the pure elements, meV/atom: -20
Space-group type: R-3m (166)
ρ, g/cm³: 7.91
Electronic total energy, eV/cell: -16.41

---

(5)
Below is an optimized crystal structure of LiZnOs2, with properties calculated at the PBE-GGA level.

```
4
Lattice="2.8009 0.0000 0.0000 0.0000 4.4592 0.0000 0.0000 0.0000 4.4593" Properties=species:S:1:pos:R:3 pbc="T T T"
Li 0.0000 0.0000 0.0000
Zn 1.4004 0.0000 2.2296
Os 0.0000 2.2296 2.2296
Os 1.4004 2.2296 0.0000
```

Computed properties:
Energy of formation from the pure elements, meV/atom: 220
Space-group type: Pmmm (47)
ρ, g/cm³: 13.50
Electronic total energy, eV/cell: -24.77

---

(6)
Below is an optimized crystal structure of Li2ZnOs, with properties calculated at the PBE-GGA level.

```
4
Lattice="2.5564 0.0000 0.0000 0.0000 2.5564 0.0000 0.0000 0.0000 8.6847" Properties=species:S:1:pos:R:3 pbc="T T T"
Li 0.0000 0.0000 2.1111
Li 0.0000 0.0000 6.5735
Zn 1.2782 1.2782 4.3423
Os 1.2782 1.2782 0.0000
```

Computed properties:
Energy of formation from the pure elements, meV/atom: 114
Space-group type: P4/mmm (123)
ρ, g/cm³: 7.89
Electronic total energy, eV/cell: -15.87

---

(7)
Below is an optimized crystal structure of LiZnOs2, with properties calculated at the PBE-GGA level.

```
4
Lattice="3.6418 0.0000 0.0000 0.0000 3.6418 0.0000 0.0000 0.0000 4.2072" Properties=species:S:1:pos:R:3 pbc="T T T"
Li 0.0000 0.0000 0.0000
Zn 1.8209 1.8209 0.0000
Os 0.0000 1.8209 2.1036
Os 1.8209 0.0000 2.1036
```

Computed properties:
Energy of formation from the pure elements, meV/atom: 345
Space-group type: P4/mmm (123)
ρ, g/cm³: 13.48
Electronic total energy, eV/cell: -24.27

---

(8)
Below is an optimized crystal structure of Li2ZnOs, with properties calculated at the PBE-GGA level.

```
4
Lattice="2.6224 0.0000 0.0000 0.0000 4.4780 0.0000 -0.0027 0.0000 4.7431" Properties=species:S:1:pos:R:3 pbc="T T T"
Li 0.0000 0.0000 0.0000
Li 1.3045 2.2390 4.0998
Zn 1.3066 0.0000 2.2301
Os 2.6162 2.2390 1.7543
```

Computed properties:
Energy of formation from the pure elements, meV/atom: 75
Space-group type: Pm (6)
ρ, g/cm³: 8.04
Electronic total energy, eV/cell: -16.03

---

- Which value of electronic total energy does entry 2 give?
  -15.69 eV/cell

---

- Which of these has the lowest electronic total energy?
  number 5